Record 1
Density functional theory data (PBE) for an optimized crystal structure of Nd2DyCd.

## Properties
Its symmetry is R3m (160). The value obtained for the distance to the lowest polymorph of the same formula is 0.088 eV per atom.

a b c (Å): 11.253 11.253 11.253
angles (deg): 18.68 18.68 18.68
Element x y z (fractional)
Nd 0.000 0.000 0.000
Nd 0.176 0.176 0.176
Dy 0.755 0.755 0.755
Cd 0.588 0.588 0.588

***

Record 2
Density functional theory data (PBE) for an optimized crystal structure of Nd2DyCd2.

## Properties
Its symmetry is Ibam (72). The value obtained for the distance to the lowest polymorph of the same formula is 0.303 eV per atom.

a b c (Å): 7.951 7.951 7.951
angles (deg): 108.99 89.12 133.63
Element x y z (fractional)
Nd 0.121 0.116 0.237
Nd 0.379 0.616 0.995
Nd 0.621 0.384 0.005
Nd 0.879 0.884 0.763
Dy 0.250 0.750 0.500
Dy 0.750 0.250 0.500
Cd 0.136 0.760 0.896
Cd 0.364 0.260 0.624
Cd 0.636 0.740 0.376
Cd 0.864 0.240 0.104

***

Record 3
Density functional theory data (PBE) for an optimized crystal structure of Nd5Dy8Cd.

## Properties
Its symmetry is I-4 (82). The calculated total energy comes out at -4.21 eV/atom.

a b c (Å): 8.453 8.453 8.453
angles (deg): 110.46 110.46 107.51
Element x y z (fractional)
Nd 0.000 0.000 0.000
Nd 0.208 0.320 0.689
Nd 0.480 0.792 0.112
Nd 0.631 0.520 0.311
Nd 0.680 0.369 0.888
Dy 0.159 0.435 0.105
Dy 0.330 0.054 0.895
Dy 0.420 0.162 0.395
Dy 0.565 0.670 0.725
Dy 0.766 0.025 0.605
Dy 0.838 0.234 0.258
Dy 0.946 0.841 0.275
Dy 0.975 0.580 0.742
Cd 0.250 0.750 0.500